CsNi2SnH | GGA-PBE | optimized geometry

Space group: P4/mmm (123)
E: -1.796 eV/atom

```
CsNi2SnH
1.0
4.8073 0.0000 0.0000
0.0000 4.8073 0.0000
0.0000 0.0000 6.9293
Cs Ni Sn H
1 2 1 1
Direct
0.0000 0.0000 0.0000
0.0000 0.5000 0.0000
0.5000 0.0000 0.0000
0.0000 0.0000 0.5000
0.5000 0.5000 0.5000
```